No. 1
An optimized crystal structure of TbScGeRu. Source: Alexandria, functional PBE-GGA.

Cell and atoms, written as extended XYZ:
```
4
Lattice="0.0000 3.3939 3.3939 3.3939 0.0000 3.3939 3.3939 3.3939 0.0000" Properties=species:S:1:pos:R:3 pbc="T T T"
Tb 0.0000 0.0000 0.0000
Sc 3.3939 3.3939 3.3939
Ge 1.6970 1.6970 1.6970
Ru 5.0909 5.0909 5.0909
```

Results
Total magnetic moment ... 0.00 μB per formula unit
Energy of formation from the pure elements ... -0.51 eV/atom
SG ... No. 216
Crystal system ... cubic

***

No. 2
An optimized crystal structure of In2O3. Source: Alexandria, functional PBE-GGA.

Cell and atoms, written as extended XYZ:
```
20
Lattice="8.0865 0.0000 0.0000 0.0000 5.5907 0.0000 0.0000 0.0000 5.6879" Properties=species:S:1:pos:R:3 pbc="T T T"
In 0.9261 1.3845 0.1613
In 0.9261 4.2061 3.0053
In 3.1171 1.4108 3.0053
In 3.1171 4.1799 0.1613
In 4.9694 1.4108 5.5266
In 4.9694 4.1799 2.6826
In 7.1603 1.3845 2.6826
In 7.1603 4.2061 5.5266
O 0.0000 0.2342 4.2659
O 0.0000 5.3564 1.4220
O 1.2186 2.1810 2.2509
O 1.2186 3.4096 5.0949
O 2.8246 0.6143 5.0949
O 2.8246 4.9764 2.2509
O 4.0432 2.5611 1.4220
O 4.0432 3.0296 4.2659
O 5.2618 0.6143 3.4370
O 5.2618 4.9764 0.5930
O 6.8678 2.1810 0.5930
O 6.8678 3.4096 3.4370
```

Results
Total magnetic moment ... 0.00 μB per formula unit
Uncorrected formation energy ... -7.66 eV/f.u.
SG ... No. 60
Crystal system ... orthorhombic

***

No. 3
An optimized crystal structure of TbEr4Mg. Source: Alexandria, functional PBE-GGA.

Cell and atoms, written as extended XYZ:
```
6
Lattice="3.5269 0.0000 0.0000 0.0000 3.5269 0.0000 0.0000 0.0000 14.3063" Properties=species:S:1:pos:R:3 pbc="T T T"
Tb 0.0000 0.0000 0.0000
Er 0.0000 0.0000 4.9361
Er 0.0000 0.0000 9.3701
Er 1.7635 1.7635 2.5032
Er 1.7635 1.7635 11.8030
Mg 1.7635 1.7635 7.1531
```

Results
Total magnetic moment ... 0.00 μB per formula unit
Energy of formation from the pure elements ... -0.01 eV/atom
Polymorph energy (0 for the lowest one) ... 0.0 meV/atom
SG ... No. 123
Crystal system ... tetragonal

***

No. 4
An optimized crystal structure of Cs5K3F12. Source: Alexandria, functional PBE-GGA.

Cell and atoms, written as extended XYZ:
```
80
Lattice="-7.9912 7.9912 7.9912 7.9912 -7.9912 7.9912 7.9912 7.9912 -7.9912" Properties=species:S:1:pos:R:3 pbc="T T T"
Cs 0.0000 0.0000 0.0000
Cs 3.9956 3.9956 -3.9956
Cs 3.9956 -3.9956 3.9956
Cs 7.9912 0.0000 0.0000
Cs 11.9868 1.9978 0.0000
Cs 7.9912 -3.9956 5.9934
Cs 5.9934 7.9912 -3.9956
Cs 5.9934 0.0000 3.9956
Cs 3.9956 5.9934 0.0000
Cs 7.9912 3.9956 1.9978
Cs -3.9956 3.9956 3.9956
Cs 0.0000 7.9912 0.0000
Cs 0.0000 0.0000 7.9912
Cs 3.9956 3.9956 3.9956
Cs 0.0000 3.9956 5.9934
Cs 3.9956 1.9978 7.9912
Cs 1.9978 7.9912 3.9956
Cs 1.9978 0.0000 11.9868
Cs 0.0000 11.9868 1.9978
Cs -3.9956 5.9934 7.9912
K 3.9956 1.9978 0.0000
K 7.9912 3.9956 -1.9978
K 1.9978 0.0000 3.9956
K 9.9890 0.0000 3.9956
K 0.0000 3.9956 1.9978
K 3.9956 -1.9978 7.9912
K 3.9956 9.9890 0.0000
K 7.9912 3.9956 5.9934
K -1.9978 7.9912 3.9956
K 5.9934 7.9912 3.9956
K 0.0000 3.9956 9.9890
K 3.9956 5.9934 7.9912
F 2.2096 -0.2576 1.2242
F 9.7772 5.2198 -4.2532
F 7.7335 -1.2242 2.2096
F 12.2444 -1.7860 2.7714
F 10.2007 0.2576 1.2242
F 9.7772 -2.7714 4.2532
F 1.2242 2.2096 -0.2576
F 10.7625 3.7379 -1.7860
F 5.2198 4.2532 -1.7860
F 6.7670 2.2096 0.2576
F -0.2576 1.2242 2.2096
F 4.2532 -1.7860 5.2198
F 7.7335 6.7670 -2.2096
F 4.2532 1.7860 2.7714
F 6.7670 -2.2096 7.7335
F 5.2198 -4.2532 9.7772
F 2.7714 4.2532 1.7860
F 9.2154 5.7816 0.2576
F 2.2096 7.7335 -1.2242
F 9.7772 2.7714 3.7379
F 4.2532 9.7772 -2.7714
F 7.7335 1.2242 5.7816
F 1.7860 2.7714 4.2532
F 2.2096 0.2576 6.7670
F 5.7816 7.7335 1.2242
F 6.2052 5.2198 3.7379
F 0.2576 6.7670 2.2096
F 3.7379 -1.7860 10.7625
F -1.7860 5.2198 4.2532
F 5.7816 0.2576 9.2154
F -1.2242 2.2096 7.7335
F 5.2198 3.7379 6.2052
F 2.7714 12.2444 -1.7860
F 1.2242 10.2007 0.2576
F 3.7379 6.2052 5.2198
F 0.2576 1.2242 10.2007
F 3.7379 9.7772 2.7714
F 8.2488 6.7670 5.7816
F 1.2242 5.7816 7.7335
F 2.7714 3.7379 9.7772
F -2.7714 4.2532 9.7772
F 6.7670 5.7816 8.2488
F -1.7860 10.7625 3.7379
F -2.2096 7.7335 6.7670
F -4.2532 9.7772 5.2198
F 0.2576 9.2154 5.7816
F -1.7860 2.7714 12.2444
F 5.7816 8.2488 6.7670
```

Results
Total magnetic moment ... 0.00 μB per formula unit
Uncorrected formation energy ... -41.31 eV/f.u.
SG ... No. 230
Crystal system ... cubic

***

| no. | energy (eV/atom) |
| --- | --- |
| 1 | -6.72 |
| 2 | -5.60 |
| 3 | -4.09 |
| 4 | -3.57 |